# 1
This record from Alexandria via LeMat-Bulk describes an optimized crystal structure of ScTl2Cd2. The functional is PBE.

a = 8.0722 Å, b = 8.0722 Å, c = 3.9458 Å
α = 90.00°, β = 90.00°, γ = 90.00°
With the nearest neighbours (Å) after each atom.
Sites, in units of the cell vectors:
Tl  0.6775  0.8225  0.5000  6 Cd 2.98-3.18
Tl  0.1775  0.6775  0.5000  6 Cd 2.98-3.18
Tl  0.3225  0.1775  0.5000  6 Cd 2.98-3.18
Tl  0.8225  0.3225  0.5000  6 Cd 2.98-3.18
Cd  0.8733  0.6267  0.0000  1 Cd 2.89, 6 Tl 2.98-3.18, 2 Sc 3.18
Cd  0.3733  0.8733  0.0000  1 Cd 2.89, 6 Tl 2.98-3.18, 2 Sc 3.18
Cd  0.1267  0.3733  0.0000  1 Cd 2.89, 6 Tl 2.98-3.18, 2 Sc 3.18
Cd  0.6267  0.1267  0.0000  1 Cd 2.89, 6 Tl 2.98-3.18, 2 Sc 3.18
Sc  0.5000  0.5000  0.0000  4 Cd 3.18
Sc  0.0000  0.0000  0.0000  4 Cd 3.18

## Properties
Theoretical density: 8.765 g cm⁻³
Energy of formation: 79 meV/atom
DOS(E_F): 0.76 states/eV per atom
Relative energy among the computed polymorphs: 0.00 kJ/mol of atoms

# 2
This record from Alexandria via LeMat-Bulk describes an optimized crystal structure of Ti2GaNi. The functional is PBE.

a = 4.1381 Å, b = 4.1381 Å, c = 7.4178 Å
α = 106.20°, β = 106.20°, γ = 90.00°
With the nearest neighbours (Å) after each atom.
Sites, in units of the cell vectors:
Ga  0.8589  0.8589  0.7179  4 Ni 2.55, 4 Ti 2.82
Ga  0.1411  0.1411  0.2821  4 Ni 2.55, 4 Ti 2.82
Ni  0.7500  0.2500  0.5000  4 Ti 2.55, 4 Ga 2.55
Ni  0.2500  0.7500  0.5000  4 Ti 2.55, 4 Ga 2.55
Ti  0.3587  0.3587  0.7175  4 Ni 2.55, 4 Ti 2.83
Ti  0.5000  0.0000  0.0000  4 Ga 2.82, 8 Ti 2.83-2.93
Ti  0.6413  0.6413  0.2825  4 Ni 2.55, 4 Ti 2.83
Ti  0.0000  0.5000  0.0000  4 Ga 2.82, 8 Ti 2.83-2.93

## Properties
Theoretical density: 6.378 g cm⁻³
Energy of formation: -403 meV/atom
DOS(E_F): 1.31 states/eV per atom

# 3
This record from Alexandria via LeMat-Bulk describes an optimized crystal structure of MnInIr. The functional is PBE.

a = 7.0210 Å, b = 2.9323 Å, c = 10.8934 Å
α = 90.00°, β = 114.38°, γ = 90.00°
With the nearest neighbours (Å) after each atom.
Sites, in units of the cell vectors:
Ir  0.4697  0.0000  0.8543  4 Mn 2.62-2.63, 3 In 2.85, 2 Ir 2.88
Ir  0.5303  0.5000  0.6457  4 Mn 2.62-2.63, 3 In 2.85, 2 Ir 2.88
Ir  0.5303  0.0000  0.1457  4 Mn 2.62-2.63, 3 In 2.85, 2 Ir 2.88
Ir  0.4697  0.5000  0.3543  4 Mn 2.62-2.63, 3 In 2.85, 2 Ir 2.88
In  0.1335  0.0000  0.1592  3 Ir 2.85, 5 Mn 2.90-3.07, 2 In 2.93
In  0.8665  0.0000  0.8408  3 Ir 2.85, 5 Mn 2.90-3.07, 2 In 2.93
In  0.1335  0.5000  0.6592  3 Ir 2.85, 5 Mn 2.90-3.07, 2 In 2.93
In  0.8665  0.5000  0.3408  3 Ir 2.85, 5 Mn 2.90-3.07, 2 In 2.93
Mn  0.7428  0.0000  0.5448  4 Ir 2.62-2.63, 2 In 2.90
Mn  0.2572  0.0000  0.4552  4 Ir 2.62-2.63, 2 In 2.90
Mn  0.2572  0.5000  0.9552  4 Ir 2.62-2.63, 2 In 2.90
Mn  0.7428  0.5000  0.0448  4 Ir 2.62-2.63, 2 In 2.90

## Properties
Theoretical density: 11.770 g cm⁻³
Energy of formation: 40 meV/atom
DOS(E_F): 0.61 states/eV per atom

# 4
This record from Alexandria via LeMat-Bulk describes an optimized crystal structure of Ho4TeRh. The functional is PBE.

a = 3.9289 Å, b = 8.2176 Å, c = 19.3802 Å
α = 90.00°, β = 90.00°, γ = 90.00°
With the nearest neighbours (Å) after each atom.
Sites, in units of the cell vectors:
Ho  0.2500  0.4881  0.4318  3 Rh 2.90-3.24, 1 Te 3.20
Ho  0.7500  0.3567  0.0492  3 Rh 2.84-3.09
Ho  0.2500  0.0431  0.7842  4 Te 3.17-3.19, 4 Ho 3.48-3.53
Ho  0.7500  0.8637  0.6487  2 Rh 2.85
Ho  0.2500  0.5431  0.7158  4 Te 3.17-3.19, 4 Ho 3.48-3.53
Ho  0.2500  0.9881  0.0682  3 Rh 2.90-3.24, 1 Te 3.20
Ho  0.2500  0.6433  0.9508  3 Rh 2.84-3.09
Ho  0.2500  0.1433  0.5492  3 Rh 2.84-3.09
Ho  0.7500  0.4569  0.2842  4 Te 3.17-3.19, 4 Ho 3.48-3.53
Ho  0.7500  0.8567  0.4508  3 Rh 2.84-3.09
Ho  0.7500  0.5119  0.5682  3 Rh 2.90-3.24, 1 Te 3.20
Ho  0.2500  0.1363  0.3513  2 Rh 2.85
Ho  0.7500  0.0119  0.9318  3 Rh 2.90-3.24, 1 Te 3.20
Ho  0.7500  0.3637  0.8513  2 Rh 2.85
Ho  0.2500  0.6363  0.1487  2 Rh 2.85
Ho  0.7500  0.9569  0.2158  4 Te 3.17-3.19, 4 Ho 3.48-3.53
Rh  0.7500  0.7326  0.0500  7 Ho 2.84-3.09
Rh  0.2500  0.2674  0.9500  7 Ho 2.84-3.09
Rh  0.2500  0.7674  0.5500  7 Ho 2.84-3.09
Rh  0.7500  0.2326  0.4500  7 Ho 2.84-3.09
Te  0.2500  0.2557  0.1879  9 Ho 3.17-3.43
Te  0.7500  0.2443  0.6879  9 Ho 3.17-3.43
Te  0.2500  0.7557  0.3121  9 Ho 3.17-3.43
Te  0.7500  0.7443  0.8121  9 Ho 3.17-3.43

## Properties
Theoretical density: 9.450 g cm⁻³
E_form (uncorrected): -794 meV per atom
DOS(E_F): 0.73 states/eV per atom
Relative energy among the computed polymorphs: 0.00 kJ/mol of atoms

# 5
This record from Alexandria via LeMat-Bulk describes an optimized crystal structure of LiZn5Pd3. The functional is PBE.

a = 5.2074 Å, b = 7.6615 Å, c = 7.6616 Å
α = 120.00°, β = 90.00°, γ = 90.00°
With the nearest neighbours (Å) after each atom.
Sites, in units of the cell vectors:
Pd  0.7500  0.3501  0.3501  9 Zn 2.56-2.81
Pd  0.2500  0.0000  0.3501  9 Zn 2.56-2.81
Pd  0.2500  0.6499  0.6499  9 Zn 2.56-2.81
Pd  0.7500  0.0000  0.6499  9 Zn 2.56-2.81
Pd  0.7500  0.6499  0.0000  9 Zn 2.56-2.81
Pd  0.2500  0.3501  0.0000  9 Zn 2.56-2.81
Li  0.5000  0.0000  0.0000  2 Li 2.60, 6 Zn 2.75
Li  0.0000  0.0000  0.0000  2 Li 2.60, 6 Zn 2.75
Zn  0.7500  0.6842  0.6842  5 Pd 2.56-2.62, 2 Li 2.75
Zn  0.2500  0.3158  0.3158  5 Pd 2.56-2.62, 2 Li 2.75
Zn  0.0000  0.3333  0.6667  2 Zn 2.60, 6 Pd 2.81
Zn  0.2500  0.6842  0.0000  5 Pd 2.56-2.62, 2 Li 2.75
Zn  0.0000  0.6667  0.3333  2 Zn 2.60, 6 Pd 2.81
Zn  0.7500  0.3158  0.0000  5 Pd 2.56-2.62, 2 Li 2.75
Zn  0.2500  0.0000  0.6842  5 Pd 2.56-2.62, 2 Li 2.75
Zn  0.5000  0.3333  0.6667  2 Zn 2.60, 6 Pd 2.81
Zn  0.7500  0.0000  0.3158  5 Pd 2.56-2.62, 2 Li 2.75
Zn  0.5000  0.6667  0.3333  2 Zn 2.60, 6 Pd 2.81

## Properties
Theoretical density: 8.196 g cm⁻³
Energy of formation: -395 meV/atom
DOS(E_F): 0.40 states/eV per atom

# 6
This record from Alexandria via LeMat-Bulk describes an optimized crystal structure of Hf6NbRh5. The functional is PBE.

a = 4.6160 Å, b = 6.6484 Å, c = 8.0158 Å
α = 114.50°, β = 106.73°, γ = 90.00°
With the nearest neighbours (Å) after each atom.
Sites, in units of the cell vectors:
Rh  0.3316  0.8316  0.6632  8 Hf 2.82-2.87
Rh  0.3312  0.3312  0.6624  8 Hf 2.82-2.86
Rh  0.0000  0.5000  0.0000  8 Hf 2.84
Rh  0.6688  0.6688  0.3376  8 Hf 2.82-2.86
Rh  0.6684  0.1684  0.3368  8 Hf 2.82-2.87
Hf  0.5000  0.7490  0.0000  6 Rh 2.84-2.87, 2 Nb 2.85
Hf  0.1670  0.4176  0.3341  7 Rh 2.82-2.85, 1 Nb 2.85
Hf  0.5000  0.2510  0.0000  6 Rh 2.84-2.87, 2 Nb 2.85
Hf  0.1670  0.9164  0.3341  7 Rh 2.82-2.85, 1 Nb 2.85
Hf  0.8330  0.5824  0.6659  7 Rh 2.82-2.85, 1 Nb 2.85
Hf  0.8330  0.0836  0.6659  7 Rh 2.82-2.85, 1 Nb 2.85
Nb  0.0000  0.0000  0.0000  8 Hf 2.85

## Properties
Theoretical density: 13.125 g cm⁻³
Energy of formation: -756 meV/atom
DOS(E_F): 0.58 states/eV per atom